The following is a DFT calculation (PBE) of an optimized crystal structure of Mg2MnAu.

Structure (POSCAR):
```
Mg2MnAu
1.0
3.046 0.000 0.000
-1.523 2.638 0.000
0.000 0.000 27.454
Mg Mn Au
6 3 3
direct
0.000 0.000 0.249
0.000 0.000 0.751
0.333 0.667 0.418
0.333 0.667 0.916
0.667 0.333 0.084
0.667 0.333 0.582
0.000 0.000 0.000
0.333 0.667 0.667
0.667 0.333 0.333
0.000 0.000 0.500
0.333 0.667 0.167
0.667 0.333 0.833
```

Results
space group = No. 166
ΔE_f = 0.015 eV/atom